Computed, not measured: LaPmPu after structural relaxation at the PBE-GGA level of DFT.

Lattice parameters (Å, degrees): 5.7891 5.7891 3.3407 90.00 90.00 120.00
Sites, in units of the cell vectors:
La 0.0000 0.0000 0.0000
Pm 0.3333 0.6667 0.0000
Pu 0.6667 0.3333 0.5000

Results
ΔE_f	24	kJ per mole of atoms
ΔE to the lowest computed polymorph	120	meV per atom

Computed, not measured: La6Pm2Pu after structural relaxation at the PBE-GGA level of DFT.

Lattice parameters (Å, degrees): 10.4895 10.4895 7.6096 92.09 92.09 49.28
Sites, in units of the cell vectors:
La 0.0662 0.0666 0.1427
La 0.0666 0.0662 0.6428
La 0.1702 0.5763 0.0291
La 0.1701 0.5764 0.5290
La 0.4237 0.8298 0.4709
La 0.4236 0.8299 0.9710
La 0.5764 0.1701 0.0290
La 0.5763 0.1702 0.5291
La 0.8299 0.4236 0.4710
La 0.8298 0.4237 0.9709
La 0.9334 0.9338 0.3572
La 0.9338 0.9334 0.8572
Pm 0.2402 0.2402 0.2736
Pm 0.2402 0.2402 0.7736
Pm 0.7598 0.7598 0.2264
Pm 0.7598 0.7598 0.7264
Pu 0.5004 0.4996 0.2500
Pu 0.4996 0.5004 0.7500

Results
ΔE_f	20	kJ per mole of atoms

Computed, not measured: LaPmPu2S4 after structural relaxation at the PBE-GGA level of DFT.

Lattice parameters (Å, degrees): 6.9597 4.0160 7.0017 90.00 109.31 90.00
Sites, in units of the cell vectors:
La 0.0000 0.0000 0.0000
Pm 0.5000 0.5000 0.0000
Pu 0.0000 0.5000 0.5000
Pu 0.5000 0.0000 0.5000
S 0.2506 0.0000 0.7401
S 0.2581 0.5000 0.2629
S 0.7419 0.5000 0.7371
S 0.7494 0.0000 0.2599

Results
raw formation energy	-1.940	eV/atom

Computed, not measured: La2PmPuS4 after structural relaxation at the PBE-GGA level of DFT.

Lattice parameters (Å, degrees): 7.0589 4.0619 7.0881 90.00 109.26 90.00
Sites, in units of the cell vectors:
La 0.0000 0.0000 0.0000
La 0.5000 0.5000 0.0000
Pm 0.0000 0.5000 0.5000
Pu 0.5000 0.0000 0.5000
S 0.2494 0.0000 0.7397
S 0.2575 0.5000 0.2629
S 0.7425 0.5000 0.7371
S 0.7506 0.0000 0.2603

Results
raw formation energy	-2.039	eV/atom

Computed, not measured: La3Pm4PuS8 after structural relaxation at the PBE-GGA level of DFT.

Lattice parameters (Å, degrees): 8.1438 8.1438 8.1438 60.02 60.02 60.02
Sites, in units of the cell vectors:
La 0.0000 0.5000 0.5000
La 0.5000 0.0000 0.5000
La 0.5000 0.5000 0.0000
Pm 0.0000 0.0000 0.5000
Pm 0.0000 0.5000 0.0000
Pm 0.5000 0.0000 0.0000
Pm 0.5000 0.5000 0.5000
Pu 0.0000 0.0000 0.0000
S 0.2425 0.7522 0.7522
S 0.2473 0.2473 0.2473
S 0.2478 0.2478 0.7575
S 0.2478 0.7575 0.2478
S 0.7522 0.2425 0.7522
S 0.7522 0.7522 0.2425
S 0.7527 0.7527 0.7527
S 0.7575 0.2478 0.2478

Results
raw formation energy	-2.054	eV/atom

Computed, not measured: LaPm2PuS4 after structural relaxation at the PBE-GGA level of DFT.

Lattice parameters (Å, degrees): 7.0125 4.0347 7.0313 90.00 109.30 90.00
Sites, in units of the cell vectors:
La 0.0000 0.0000 0.0000
Pm 0.5000 0.0000 0.5000
Pm 0.5000 0.5000 0.0000
Pu 0.0000 0.5000 0.5000
S 0.2480 0.0000 0.7428
S 0.2533 0.5000 0.2574
S 0.7467 0.5000 0.7426
S 0.7520 0.0000 0.2572

Results
raw formation energy	-2.007	eV/atom

Computed, not measured: LaPmPu2Sb4 after structural relaxation at the PBE-GGA level of DFT.

Lattice parameters (Å, degrees): 7.7591 4.5026 7.7954 90.00 109.47 90.00
Sites, in units of the cell vectors:
La 0.0000 0.0000 0.0000
Pm 0.0000 0.5000 0.5000
Pu 0.5000 0.0000 0.5000
Pu 0.5000 0.5000 0.0000
Sb 0.2581 0.0000 0.7497
Sb 0.2605 0.5000 0.2573
Sb 0.7395 0.5000 0.7427
Sb 0.7419 0.0000 0.2503

Results
raw formation energy	-0.887	eV/atom

Computed, not measured: LaPm2PuSb4 after structural relaxation at the PBE-GGA level of DFT.

Lattice parameters (Å, degrees): 7.8112 4.5172 7.8149 90.00 109.47 90.00
Sites, in units of the cell vectors:
La 0.0000 0.0000 0.0000
Pm 0.0000 0.5000 0.5000
Pm 0.5000 0.0000 0.5000
Pu 0.5000 0.5000 0.0000
Sb 0.2562 0.0000 0.7517
Sb 0.2563 0.5000 0.2525
Sb 0.7438 0.0000 0.2483
Sb 0.7437 0.5000 0.7475

Results
raw formation energy	-1.048	eV/atom

Computed, not measured: LaPmPuSc after structural relaxation at the PBE-GGA level of DFT.

Lattice parameters (Å, degrees): 7.8849 7.8849 7.8849 90.00 90.00 90.00
Sites, in units of the cell vectors:
La 0.0000 0.0000 0.0000
La 0.0000 0.5000 0.5000
La 0.5000 0.0000 0.5000
La 0.5000 0.5000 0.0000
Pm 0.0000 0.0000 0.5000
Pm 0.0000 0.5000 0.0000
Pm 0.5000 0.0000 0.0000
Pm 0.5000 0.5000 0.5000
Pu 0.2500 0.2500 0.7500
Pu 0.2500 0.7500 0.2500
Pu 0.7500 0.2500 0.2500
Pu 0.7500 0.7500 0.7500
Sc 0.2500 0.2500 0.2500
Sc 0.2500 0.7500 0.7500
Sc 0.7500 0.2500 0.7500
Sc 0.7500 0.7500 0.2500

Results
ΔE_f	20	kJ per mole of atoms

Computed, not measured: La2PmPuSe4 after structural relaxation at the PBE-GGA level of DFT.

Lattice parameters (Å, degrees): 7.3487 4.2304 7.3691 90.00 109.28 90.00
Sites, in units of the cell vectors:
La 0.0000 0.0000 0.0000
La 0.5000 0.5000 0.0000
Pm 0.0000 0.5000 0.5000
Pu 0.5000 0.0000 0.5000
Se 0.2490 0.0000 0.7408
Se 0.2559 0.5000 0.2609
Se 0.7441 0.5000 0.7391
Se 0.7510 0.0000 0.2592

Results
raw formation energy	-1.849	eV/atom

Computed, not measured: LaPm2PuSe4 after structural relaxation at the PBE-GGA level of DFT.

Lattice parameters (Å, degrees): 7.3022 4.2004 7.3179 90.00 109.28 90.00
Sites, in units of the cell vectors:
La 0.0000 0.0000 0.0000
Pm 0.5000 0.0000 0.5000
Pm 0.5000 0.5000 0.0000
Pu 0.0000 0.5000 0.5000
Se 0.2493 0.0000 0.7444
Se 0.2535 0.5000 0.2565
Se 0.7465 0.5000 0.7435
Se 0.7507 0.0000 0.2556

Results
raw formation energy	-1.810	eV/atom

Computed, not measured: LaPmPu2Se4 after structural relaxation at the PBE-GGA level of DFT.

Lattice parameters (Å, degrees): 7.2568 4.1896 7.3103 90.00 109.31 90.00
Sites, in units of the cell vectors:
La 0.0000 0.0000 0.0000
Pm 0.5000 0.5000 0.0000
Pu 0.0000 0.5000 0.5000
Pu 0.5000 0.0000 0.5000
Se 0.2512 0.0000 0.7427
Se 0.2570 0.5000 0.2600
Se 0.7430 0.5000 0.7400
Se 0.7488 0.0000 0.2573

Results
raw formation energy	-1.733	eV/atom